<w>
Compound: Ce6TlSn2
Source: the Alexandria database
Functional: PBE
Structure: optimized geometry

Values from the calculation:
The volume comes out at 25.7 Å³/atom. Its total magnetization is 4.26 μB/cell. The calculation puts the calculated density at 9.2 g/cm³.

Cell: 9.1169 9.1169 3.2121 Å, 90.00 90.00 120.00°
Space group P6/mmm (No. 191)
Unique sites:
Ce1 0.0000 0.3436 0.0000 (multiplicity 6)
Tl1 0.0000 0.0000 0.5000 (multiplicity 1)
Sn1 0.3333 0.6667 0.5000 (multiplicity 2)



<x>
Compound: Ce6TlSn2
Source: the Alexandria database
Functional: PBE
Structure: optimized geometry

Values from the calculation:
The volume comes out at 26.7 Å³/atom. Its total magnetization is 10.26 μB/cell. The calculation puts the calculated density at 8.8 g/cm³.

Cell: 3.251 9.336 15.864 Å, 90.00 90.00 90.00°
Space group Immm (No. 71)
Unique sites:
Ce1 0.000 0.172 0.000 (multiplicity 4)
Ce2 0.000 0.315 0.157 (multiplicity 8)
Tl1 0.000 0.000 0.500 (multiplicity 2)
Sn1 0.000 0.500 0.339 (multiplicity 4)



Computed relative energies in units of eV/atom: <w> 0.000; <x> 0.030